Record 1
A plane-wave DFT calculation with PBE was carried out for SrTlMo2 after structural relaxation.

The structure belongs to space group Fm-3m (No. 225); the cell edges are 7.024, 7.024 and 7.024 Å and the angles 90.00°, 90.00° and 90.00°. The distinct sites, in fractional coordinates, are Sr at (0.000, 0.000, 0.000), Tl at (0.000, 0.000, 0.500) and Mo at (0.250, 0.250, 0.250).

Its calculated volume is 21.7 Å³ per atom. As for the energy above the most stable polymorph in this dataset: 0.911 eV/atom. The energy is -5.133 eV per atom. As for the density: 9.27 Mg/m³.

---

Record 2
A plane-wave DFT calculation with PBE was carried out for K2Ga7Pt12 after structural relaxation.

The structure belongs to space group P-6 (No. 174); the cell edges are 10.2018, 10.2018 and 4.0598 Å and the angles 90.00°, 90.00° and 120.00°. The distinct sites, in fractional coordinates, are K at (0.0000, 0.0000, 0.0000), K at (0.3333, 0.6667, 0.5000), Ga at (0.0566, 0.4604, 0.0000), Ga at (0.2629, 0.2308, 0.5000), Ga at (0.6667, 0.3333, 0.0000), Pt at (0.0405, 0.2820, 0.5000), Pt at (0.1213, 0.7353, 0.0000), Pt at (0.3880, 0.1831, 0.0000) and Pt at (0.5465, 0.4259, 0.5000).

Its calculated volume is 17.4 Å³ per atom. The energy is -5.082 eV per atom. As for the density: 13.19 Mg/m³.

---

Q: The highest density belongs to which entry?
A: K2Ga7Pt12

---

Q: Which value of calculated volume does entry 2 give?
A: 17.4 Å³ per atom

---

Q: energy of number 1 (SrTlMo2)?
A: -5.133 eV per atom

---

Q: Number 2 is which compound?
A: K2Ga7Pt12